VASP calculation (GGA-PBE) on crystalline MgAl2In at its relaxed geometry.

Results
* energy: -2.851 eV per atom
* formation energy from the elements: 0.10 eV per atom
* space-group type: P2/m
* M_tot: 0.00 μB/atom
* crystal system: monoclinic
* N(E_F): 0.8 states/eV per cell

a = 2.989 Å, b = 5.229 Å, c = 5.416 Å
α = 90.00°, β = 97.52°, γ = 90.00°
Positions (direct):
1 Mg 0.000 0.000 0.000
2 Al 0.377 0.500 0.232
3 Al 0.623 0.500 0.768
4 In 0.500 0.000 0.500



VASP calculation (GGA-PBE) on crystalline MgAl2In2 at its relaxed geometry.

Results
* energy: -2.771 eV per atom
* formation energy from the elements: 0.14 eV per atom
* space-group type: P4/mbm
* M_tot: 0.00 μB/atom
* crystal system: tetragonal
* N(E_F): 4.2 states/eV per cell
* E above lowest polymorph: 0 meV/atom

a = 8.205 Å, b = 8.205 Å, c = 3.373 Å
α = 90.00°, β = 90.00°, γ = 90.00°
Positions (direct):
1 Mg 0.000 0.000 0.000
2 Mg 0.500 0.500 0.000
3 Al 0.119 0.381 0.000
4 Al 0.381 0.881 0.000
5 Al 0.619 0.119 0.000
6 Al 0.881 0.619 0.000
7 In 0.179 0.679 0.500
8 In 0.321 0.179 0.500
9 In 0.679 0.821 0.500
10 In 0.821 0.321 0.500



VASP calculation (GGA-PBE) on crystalline Mg4Al2In at its relaxed geometry.

Results
* energy: -2.274 eV per atom
* formation energy from the elements: 0.10 eV per atom
* space-group type: Fd-3m
* M_tot: 0.00 μB/atom
* crystal system: cubic
* N(E_F): 8.7 states/eV per cell

a = 9.755 Å, b = 9.755 Å, c = 9.755 Å
α = 60.00°, β = 60.00°, γ = 60.00°
Positions (direct):
1 Mg 0.000 0.000 0.000
2 Mg 0.000 0.000 0.500
3 Mg 0.000 0.500 0.000
4 Mg 0.140 0.140 0.610
5 Mg 0.140 0.610 0.140
6 Mg 0.140 0.610 0.610
7 Mg 0.390 0.390 0.860
8 Mg 0.390 0.860 0.390
9 Mg 0.390 0.860 0.860
10 Mg 0.500 0.000 0.000
11 Mg 0.610 0.140 0.140
12 Mg 0.610 0.140 0.610
13 Mg 0.610 0.610 0.140
14 Mg 0.860 0.390 0.390
15 Mg 0.860 0.390 0.860
16 Mg 0.860 0.860 0.390
17 Al 0.107 0.798 0.798
18 Al 0.202 0.202 0.202
19 Al 0.202 0.202 0.893
20 Al 0.202 0.893 0.202
21 Al 0.798 0.107 0.798
22 Al 0.798 0.798 0.107
23 Al 0.798 0.798 0.798
24 Al 0.893 0.202 0.202
25 In 0.000 0.500 0.500
26 In 0.500 0.000 0.500
27 In 0.500 0.500 0.000
28 In 0.500 0.500 0.500



VASP calculation (GGA-PBE) on crystalline MgAl2In at its relaxed geometry.

Results
* energy: -2.893 eV per atom
* formation energy from the elements: 0.06 eV per atom
* space-group type: P4/mmm
* M_tot: 0.00 μB/atom
* crystal system: tetragonal
* N(E_F): 1.2 states/eV per cell

a = 4.276 Å, b = 4.276 Å, c = 4.407 Å
α = 90.00°, β = 90.00°, γ = 90.00°
Positions (direct):
1 Mg 0.000 0.000 0.000
2 Al 0.000 0.500 0.500
3 Al 0.500 0.000 0.500
4 In 0.500 0.500 0.000



VASP calculation (GGA-PBE) on crystalline MgAl2In2 at its relaxed geometry.

Results
* energy: -2.736 eV per atom
* formation energy from the elements: 0.18 eV per atom
* space-group type: P4/mbm
* M_tot: 0.00 μB/atom
* crystal system: tetragonal
* N(E_F): 5.1 states/eV per cell
* E above lowest polymorph: 35 meV/atom

a = 8.337 Å, b = 8.337 Å, c = 3.304 Å
α = 90.00°, β = 90.00°, γ = 90.00°
Positions (direct):
1 Mg 0.000 0.000 0.000
2 Mg 0.500 0.500 0.000
3 Al 0.129 0.371 0.500
4 Al 0.371 0.871 0.500
5 Al 0.629 0.129 0.500
6 Al 0.871 0.629 0.500
7 In 0.166 0.666 0.000
8 In 0.334 0.166 0.000
9 In 0.666 0.834 0.000
10 In 0.834 0.334 0.000



VASP calculation (GGA-PBE) on crystalline Mg6Al2In at its relaxed geometry.

Results
* energy: -1.943 eV per atom
* formation energy from the elements: 0.26 eV per atom
* space-group type: P4_2/mnm
* M_tot: 0.00 μB/atom
* crystal system: tetragonal
* N(E_F): 9.1 states/eV per cell
* E above lowest polymorph: 205 meV/atom

a = 7.054 Å, b = 7.054 Å, c = 10.118 Å
α = 90.00°, β = 90.00°, γ = 90.00°
Positions (direct):
1 Mg 0.224 0.224 0.000
2 Mg 0.228 0.228 0.325
3 Mg 0.228 0.228 0.675
4 Mg 0.272 0.728 0.175
5 Mg 0.272 0.728 0.825
6 Mg 0.276 0.724 0.500
7 Mg 0.724 0.276 0.500
8 Mg 0.728 0.272 0.175
9 Mg 0.728 0.272 0.825
10 Mg 0.772 0.772 0.325
11 Mg 0.772 0.772 0.675
12 Mg 0.776 0.776 0.000
13 Al 0.000 0.000 0.159
14 Al 0.000 0.000 0.841
15 Al 0.500 0.500 0.341
16 Al 0.500 0.500 0.659
17 In 0.000 0.000 0.500
18 In 0.500 0.500 0.000